First-principles (GGA-PBE) data for a relaxed Pr6ErSn4 crystal, as listed in the Alexandria database.

a = 8.3557 Å, b = 8.3557 Å, c = 8.3557 Å
α = 122.35°, β = 122.35°, γ = 85.97°
With the nearest neighbours (Å) after each atom.
Positions (direct):
Pr 0.0000 0.5000 0.5000  4 Sn 3.11
Pr 0.0025 0.0025 0.6808  4 Sn 3.14-3.32
Pr 0.3217 0.3217 0.3192  4 Sn 3.14-3.32
Pr 0.5000 0.0000 0.5000  4 Sn 3.11
Pr 0.6783 0.9975 0.0000  4 Sn 3.14-3.32
Pr 0.9975 0.6783 0.0000  4 Sn 3.14-3.32
Er 0.5000 0.5000 0.0000  4 Sn 3.28
Sn 0.1328 0.1328 0.4670  6 Pr 3.11-3.32, 1 Er 3.28
Sn 0.3342 0.8672 0.0000  6 Pr 3.11-3.32, 1 Er 3.28
Sn 0.6658 0.6658 0.5330  6 Pr 3.11-3.32, 1 Er 3.28
Sn 0.8672 0.3342 0.0000  6 Pr 3.11-3.32, 1 Er 3.28

Properties
formation energy	-352	meV per atom
crystal system	tetragonal